A plane-wave DFT calculation with PBE-GGA was carried out for crystalline PmPr2YS6 at its relaxed geometry.

Output
Fermi-level density of states   0.000 states/eV/atom
E_tot   -65.76 eV/f.u.
Space-group type   R3 (146)
ΔE_f (raw)   -2.022 eV per atom

POSCAR file:
```
PmPr2YS6
1.0
3.5748 2.0639 6.2701
-3.5748 2.0639 6.2701
0.0000 -4.1278 6.2701
Pm Pr Y S
1 2 1 6
direct
0.0000 0.0000 0.0000
0.2908 0.2908 0.2908
0.7928 0.7928 0.7928
0.4974 0.4974 0.4974
0.1126 0.6979 0.3884
0.2080 0.6097 0.8787
0.3884 0.1126 0.6979
0.6097 0.8787 0.2080
0.6979 0.3884 0.1126
0.8787 0.2080 0.6097
```

***

A plane-wave DFT calculation with PBE-GGA was carried out for crystalline PmPr2Y3S6 at its relaxed geometry.

Output
Fermi-level density of states   0.451 states/eV/atom
E_tot   -82.68 eV/f.u.
Space-group type   C2/m (12)
ΔE_f (raw)   -2.018 eV per atom

POSCAR file:
```
PmPr2Y3S6
1.0
3.4387 -5.9752 0.0000
3.4387 5.9752 0.0000
-2.2996 0.0000 6.6075
Pm Pr Y S
1 2 3 6
direct
0.0000 0.0000 0.0000
0.3333 0.6667 0.0000
0.6667 0.3333 0.0000
0.1681 0.8319 0.5000
0.5000 0.5000 0.5000
0.8319 0.1681 0.5000
0.0885 0.4184 0.2652
0.2410 0.2410 0.7338
0.4184 0.0885 0.2652
0.5816 0.9115 0.7348
0.7590 0.7590 0.2662
0.9115 0.5816 0.7348
```

***

A plane-wave DFT calculation with PBE-GGA was carried out for crystalline PmPr2YS4 at its relaxed geometry.

Output
Fermi-level density of states   0.598 states/eV/atom
E_tot   -53.42 eV/f.u.
Space-group type   P2/m (10)
ΔE_f (raw)   -2.017 eV per atom

POSCAR file:
```
PmPr2YS4
1.0
6.9899 0.0000 0.0000
0.0000 3.9932 0.0000
-2.2886 0.0000 6.6917
Pm Pr Y S
1 2 1 4
direct
0.0000 0.0000 0.0000
0.0000 0.5000 0.5000
0.5000 0.0000 0.5000
0.5000 0.5000 0.0000
0.2517 0.5000 0.2393
0.2602 0.0000 0.7645
0.7398 0.0000 0.2355
0.7483 0.5000 0.7607
```